{
  "formula": "Ca3Be2P4H10O20",
  "functional": "PBEsol",
  "state": "relaxed",
  "dft_energy_ev_per_atom": -6.60,
  "dos_ef_per_ev_cell": 0.0,
  "lattice_angstrom": [[-4.5443, 3.2371, -4.1849], [0.8134, -5.9682, -4.1250], [-5.3160, -2.2990, 5.0131]],
  "species": ["O", "O", "O", "O", "O", "O", "O", "O", "O", "O", "O", "O", "O", "O", "O", "O", "O", "O", "O", "O", "H", "H", "H", "H", "H", "H", "H", "H", "H", "H", "Be", "Be", "P", "P", "P", "P", "Ca", "Ca", "Ca"],
  "fractional_positions": [[0.8842, 0.9841, 0.2804], [0.3702, 0.8610, 0.8635], [0.5728, 0.4757, 0.6982], [0.2721, 0.2176, 0.1190], [0.3184, 0.2538, 0.4565], [0.2502, 0.4498, 0.8790], [0.1158, 0.0159, 0.7196], [0.7279, 0.7824, 0.8810], [0.3015, 0.8043, 0.5245], [0.5216, 0.8799, 0.2863], [0.6298, 0.1390, 0.1365], [0.4784, 0.1201, 0.7137], [0.6816, 0.7462, 0.5435], [0.1539, 0.7568, 0.1218], [0.6985, 0.1957, 0.4755], [0.0695, 0.4143, 0.3311], [0.9305, 0.5857, 0.6689], [0.8461, 0.2432, 0.8782], [0.7498, 0.5502, 0.1210], [0.4272, 0.5243, 0.3018], [0.7271, 0.6403, 0.0409], [0.6233, 0.5191, 0.1686], [0.1788, 0.6479, 0.0263], [0.5137, 0.8410, 0.8813], [0.2884, 0.8185, 0.1705], [0.8212, 0.3521, 0.9737], [0.3767, 0.4809, 0.8314], [0.4863, 0.1590, 0.1187], [0.2729, 0.3597, 0.9591], [0.7116, 0.1815, 0.8295], [0.4824, 0.7361, 0.4195], [0.5176, 0.2639, 0.5805], [0.6826, 0.0454, 0.2988], [0.3174, 0.9546, 0.7012], [0.7299, 0.6432, 0.6982], [0.2701, 0.3568, 0.3018], [0.0250, 0.2919, 0.6160], [0.9750, 0.7081, 0.3840], [0.0000, 0.0000, 0.0000]]
}